# AgSn2BrN meta-GGA SCAN single point on PBEsol structure
# V = 107.3 Å³ per cell
# Formation energy (no corrections) = 0.4799 eV per atom
# Uncorrected energy = -25.9121 eV/atom
# Spin magnetization = 0.000 μB per cell
data_AgSn2BrN
_chemical_formula_sum 'Ag1 Sn2 Br1 N1'
_cell_length_a 5.107
_cell_length_b 5.107
_cell_length_c 4.115
_cell_angle_alpha 90.00
_cell_angle_beta 90.00
_cell_angle_gamma 90.00
_symmetry_space_group_name_H-M 'P 4/m m m'
_symmetry_Int_Tables_number 123
_symmetry_space_group_name_Hall '-P 4 2'
loop_
_atom_site_label
_atom_site_fract_x
_atom_site_fract_y
_atom_site_fract_z
Ag1 0.000 0.000 0.000
Sn1 0.000 0.500 0.500
Br1 0.500 0.500 0.000
N1 0.000 0.000 0.500